Entry 1:
# K2YAu, relaxed, DFT PBE-GGA
# - Excess energy over the best structure of this formula in the dataset: 478 meV per atom
data_K2YAu
_cell_length_a 5.637
_cell_length_b 5.637
_cell_length_c 5.637
_cell_angle_alpha 120.43
_cell_angle_beta 120.43
_cell_angle_gamma 89.26
_space_group_name_H-M_alt 'P 1'
_space_group_IT_number 1
_space_group_name_Hall 'P 1'
loop_
_atom_site_label
_atom_site_fract_x
_atom_site_fract_y
_atom_site_fract_z
K1 0.000 0.000 0.000
K2 0.750 0.250 0.500
Y1 0.250 0.750 0.500
Au1 0.500 0.500 0.000



Entry 2:
Entry from Alexandria: a relaxed structure of KZn2Au5 (PBE-GGA).

```
data_KZn2Au5
_cell_length_a 6.819
_cell_length_b 6.819
_cell_length_c 6.819
_cell_angle_alpha 144.83
_cell_angle_beta 112.03
_cell_angle_gamma 78.89
_space_group_name_H-M_alt 'P 1'
_space_group_IT_number 1
_space_group_name_Hall 'P 1'
loop_
_atom_site_label
_atom_site_fract_x
_atom_site_fract_y
_atom_site_fract_z
K1 0.000 0.000 0.000
Zn1 0.251 0.751 0.500
Zn2 0.749 0.249 0.500
Au1 0.159 0.353 0.807
Au2 0.454 0.647 0.807
Au3 0.500 0.000 0.500
Au4 0.546 0.353 0.193
Au5 0.841 0.647 0.193
```



Entry 3:
# KZn2Au, relaxed, DFT PBE-GGA
# - Excess energy over the best structure of this formula in the dataset: 147 meV per atom
data_KZn2Au
_cell_length_a 9.741
_cell_length_b 9.741
_cell_length_c 9.741
_cell_angle_alpha 149.98
_cell_angle_beta 149.98
_cell_angle_gamma 42.97
_space_group_name_H-M_alt 'P 1'
_space_group_IT_number 1
_space_group_name_Hall 'P 1'
loop_
_atom_site_label
_atom_site_fract_x
_atom_site_fract_y
_atom_site_fract_z
K1 0.375 0.625 0.750
K2 0.625 0.375 0.250
Zn1 0.000 0.000 0.000
Zn2 0.000 0.000 0.500
Zn3 0.000 0.500 0.000
Zn4 0.500 0.000 0.500
Au1 0.125 0.875 0.250
Au2 0.875 0.125 0.750



Per-record magnetic moment, μB per atom: 0.0017; 0.0000; 0.0000
Per-record calculated volume, Å³/atom: 31.5; 20.7; 28.8
Per-record calculated total energy, eV for the cell shown: -10.82; -21.27; -14.44